Material: NiB3S
Method: DFT, PBE-GGA
State: relaxed

Energy relative to the elements, uncorrected (eV/atom): 1.263
Crystal system: cubic
E above lowest polymorph (eV/atom): 0.000

a b c (Å): 3.861 3.861 3.861
angles (deg): 90.00 90.00 90.00
Space group Pm-3m (No. 221)
Symmetry-distinct sites (fractional):
Ni  0.000  0.000  0.000 [1 per cell]
B  0.000  0.000  0.500 [3 per cell]
S  0.500  0.500  0.500 [1 per cell]